Here is crystalline Mn2NiTeO6 at its relaxed geometry from Alexandria via LeMat-Bulk. Energies are from GGA+U.

Cell lengths 5.2794, 5.3565, 5.6169 Å; angles 61.92, 89.64, 61.13 degrees
Space group P1 (No. 1)
One atom of each set of equivalent atoms:
Mn  0.0000  0.0000  0.0000 (multiplicity 1)
Mn  0.4873  0.0275  0.4608 (multiplicity 1)
Ni  0.2043  0.5979  0.6071 (multiplicity 1)
Te  0.6926  0.6062  0.0866 (multiplicity 1)
O  0.0875  0.1108  0.2757 (multiplicity 1)
O  0.2965  0.0911  0.8118 (multiplicity 1)
O  0.4194  0.4975  0.3119 (multiplicity 1)
O  0.5964  0.5101  0.8039 (multiplicity 1)
O  0.8142  0.8059  0.2865 (multiplicity 1)
O  0.9105  0.8083  0.8077 (multiplicity 1)

Values from the calculation:
**E**: -62.83 eV for the cell shown
**DOS(E_F)**: 0.209 states/eV per atom